(1)
This record from Alexandria via LeMat-Bulk describes an optimized crystal structure of Pm5Sc2Ga4. The functional is GGA-PBE.

Unit cell a=11.000 b=11.000 c=8.148 alpha=111.73 beta=111.73 gamma=19.05
Fractional coordinates of all 11 atoms:
Pm  0.000  0.000  0.000
Pm  0.341  0.341  0.054
Pm  0.341  0.341  0.627
Pm  0.659  0.659  0.373
Pm  0.659  0.659  0.946
Sc  0.078  0.078  0.578
Sc  0.922  0.922  0.422
Ga  0.214  0.214  0.714
Ga  0.500  0.500  0.298
Ga  0.500  0.500  0.702
Ga  0.786  0.786  0.286

- E_form (eV per atom) = -0.306
- E (eV/cell) = -51.88
- SG = C2/m (12)

***

(2)
This record from Alexandria via LeMat-Bulk describes an optimized crystal structure of SrPb2Cl2. The functional is GGA-PBE.

Unit cell a=8.527 b=8.527 c=5.444 alpha=90.00 beta=90.00 gamma=90.00
Fractional coordinates of all 10 atoms:
Sr  0.000  0.000  0.000
Sr  0.500  0.500  0.000
Pb  0.125  0.375  0.000
Pb  0.375  0.875  0.000
Pb  0.625  0.125  0.000
Pb  0.875  0.625  0.000
Cl  0.204  0.296  0.500
Cl  0.296  0.796  0.500
Cl  0.704  0.204  0.500
Cl  0.796  0.704  0.500

- uncorrected formation energy (eV/atom) = -0.57
- E (eV/cell) = -31.26
- energy relative to the lowest polymorph listed for this composition (kJ/mol of atoms) = 0.00
- SG = P4/mbm (127)

***

(3)
This record from Alexandria via LeMat-Bulk describes an optimized crystal structure of LiPr4Tl. The functional is GGA-PBE.

Unit cell a=6.334 b=6.915 c=8.849 alpha=90.00 beta=101.86 gamma=90.00
Fractional coordinates of all 12 atoms:
Li  0.239  0.250  0.024
Li  0.761  0.750  0.976
Pr  0.118  0.005  0.325
Pr  0.118  0.495  0.325
Pr  0.262  0.750  0.982
Pr  0.388  0.250  0.675
Pr  0.612  0.750  0.325
Pr  0.738  0.250  0.018
Pr  0.882  0.505  0.675
Pr  0.882  0.995  0.675
Tl  0.385  0.750  0.644
Tl  0.615  0.250  0.356

- E_form (eV per atom) = -0.037
- E (eV/cell) = -47.24
- SG = P2_1/m (11)

***

(4)
This record from Alexandria via LeMat-Bulk describes an optimized crystal structure of CeDy2CdAu4. The functional is GGA-PBE.

Unit cell a=8.796 b=8.796 c=8.796 alpha=33.52 beta=33.52 gamma=33.52
Fractional coordinates of all 8 atoms:
Ce  0.000  0.000  0.000
Dy  0.241  0.241  0.241
Dy  0.759  0.759  0.759
Cd  0.500  0.500  0.500
Au  0.121  0.121  0.121
Au  0.370  0.370  0.370
Au  0.630  0.630  0.630
Au  0.879  0.879  0.879

- E_form (eV per atom) = -0.680
- E (eV/cell) = -34.60
- SG = R-3m (166)

***

(5)
This record from Alexandria via LeMat-Bulk describes an optimized crystal structure of PuNbPt6. The functional is GGA-PBE.

Unit cell a=4.075 b=4.075 c=8.220 alpha=90.00 beta=90.00 gamma=90.00
Fractional coordinates of all 8 atoms:
Pu  0.000  0.000  0.000
Nb  0.000  0.000  0.500
Pt  0.000  0.500  0.268
Pt  0.000  0.500  0.732
Pt  0.500  0.000  0.268
Pt  0.500  0.000  0.732
Pt  0.500  0.500  0.000
Pt  0.500  0.500  0.500

- E_form (eV per atom) = -0.639
- E (eV/cell) = -65.76
- SG = P4/mmm (123)

***

(6)
This record from Alexandria via LeMat-Bulk describes an optimized crystal structure of Tl6Pb12Au. The functional is GGA-PBE.

Unit cell a=8.620 b=8.620 c=8.620 alpha=100.23 beta=100.23 gamma=100.23
Fractional coordinates of all 19 atoms:
Tl  0.083  0.338  0.338
Tl  0.338  0.083  0.338
Tl  0.338  0.338  0.083
Tl  0.662  0.662  0.917
Tl  0.662  0.917  0.662
Tl  0.917  0.662  0.662
Pb  0.094  0.680  0.095
Pb  0.095  0.094  0.680
Pb  0.253  0.500  0.746
Pb  0.254  0.747  0.500
Pb  0.320  0.905  0.906
Pb  0.500  0.254  0.747
Pb  0.500  0.746  0.253
Pb  0.680  0.095  0.094
Pb  0.746  0.253  0.500
Pb  0.747  0.500  0.254
Pb  0.905  0.906  0.320
Pb  0.906  0.320  0.905
Au  0.500  0.500  0.500

- E_form (eV per atom) = 0.044
- E (eV/cell) = -61.14
- SG = R-3 (148)

***

(7)
This record from Alexandria via LeMat-Bulk describes an optimized crystal structure of SnTeSeN2. The functional is GGA-PBE.

Unit cell a=4.168 b=4.168 c=5.512 alpha=90.00 beta=90.00 gamma=90.00
Fractional coordinates of all 5 atoms:
Sn  0.000  0.000  0.000
Te  0.500  0.500  0.500
Se  0.000  0.000  0.500
N  0.000  0.500  0.000
N  0.500  0.000  0.000

- uncorrected formation energy (eV/atom) = 1.29
- E (eV/cell) = -20.83
- energy relative to the lowest polymorph listed for this composition (kJ/mol of atoms) = 16.44
- SG = P4/mmm (123)

***

(8)
This record from Alexandria via LeMat-Bulk describes an optimized crystal structure of VZnCr2Cu. The functional is GGA-PBE.

Unit cell a=4.328 b=4.328 c=4.410 alpha=90.00 beta=90.00 gamma=90.00
Fractional coordinates of all 5 atoms:
V  0.000  0.000  0.000
Zn  0.000  0.000  0.500
Cr  0.000  0.500  0.500
Cr  0.500  0.000  0.500
Cu  0.500  0.500  0.000

- E_form (eV per atom) = 1.737
- E (eV/cell) = -25.05
- SG = P4/mmm (123)